Entry 1:
A geometry-optimized KGdNO structure, computed with PBE-GGA.

Properties
SG: P4/nmm, No. 129
energy: -5.6399 eV per atom

Cell: 3.9283 3.9283 8.7928 Å, 90.00 90.00 90.00°
Atoms (fractional coordinates):
K 0.2500 0.7500 0.0000
K 0.7500 0.2500 0.0000
Gd 0.2500 0.2500 0.3727
Gd 0.7500 0.7500 0.6273
N 0.2500 0.2500 0.7921
N 0.7500 0.7500 0.2079
O 0.2500 0.7500 0.5000
O 0.7500 0.2500 0.5000

=====

Entry 2:
A geometry-optimized Ho2Te6Ir structure, computed with PBE-GGA.

Properties
SG: P-62m, No. 189
energy: -4.7917 eV per atom

Cell: 8.3338 8.3338 3.9761 Å, 90.00 90.00 120.00°
Atoms (fractional coordinates):
Ho 0.3333 0.6667 0.0000
Ho 0.6667 0.3333 0.0000
Te 0.0000 0.2258 0.0000
Te 0.0000 0.5495 0.5000
Te 0.2258 0.0000 0.0000
Te 0.4505 0.4505 0.5000
Te 0.5495 0.0000 0.5000
Te 0.7742 0.7742 0.0000
Ir 0.0000 0.0000 0.5000

=====

Q: Among the records above, which one has the highest energy?
A: Ho2Te6Ir

=====

Q: energy of number 2 (Ho2Te6Ir)?
A: -4.7917 eV per atom